First-principles (GGA-PBE) data for a relaxed structure of CoSbCl3, as listed in the Alexandria database.

## Properties
Uncorrected formation energy = -0.0578 eV per atom
VASP energy = -0.2507 Ry per atom
Polymorph energy (0 for the lowest one) = 0.0 meV/atom

Structure (POSCAR):
```
CoSbCl3
1.0
4.7332 0.0000 0.0000
0.0000 4.7332 0.0000
0.0000 0.0000 4.7332
Sb Cl Co
1 3 1
direct
0.5000 0.5000 0.5000
0.5000 0.0000 0.0000
0.0000 0.0000 0.5000
0.0000 0.5000 0.0000
0.0000 0.0000 0.0000
```